Below is a relaxed structure of SrEr4Tl4, with properties calculated at the GGA-PBE level.

The calculation puts the density of states at the Fermi level at 16.16 states/eV/cell. The value obtained for the volume is 34.60 A^3/atom. The total energy comes out at -3.382 eV/atom. As for the density: 8.4 Mg/m³. As for the spin magnetization: 0.0 μB/cell.

The space group is P4_2/n (No. 86, origin choice 2) and the conventional cell measures 10.096, 10.096 and 6.109 Å, with angles of 90.00, 90.00 and 90.00 degrees. The asymmetric unit holds Sr at (0.250, 0.250, 0.250), Er at (0.104, 0.643, 0.150) and Tl at (0.048, 0.601, 0.659).

Below is a relaxed structure of Th4Tl3Ga, with properties calculated at the GGA-PBE level.

The calculation puts the density of states at the Fermi level at 11.03 states/eV/cell. The value obtained for the volume is 28.22 A^3/atom. The total energy comes out at -5.188 eV/atom. As for the density: 11.8 Mg/m³. As for the spin magnetization: 0.0 μB/cell.

The space group is P4/mmm (No. 123) and the conventional cell measures 3.527, 3.527 and 18.154 Å, with angles of 90.00, 90.00 and 90.00 degrees. The asymmetric unit holds Th at (0.000, 0.000, 0.111), Th at (0.000, 0.000, 0.371), Tl at (0.500, 0.500, 0.243), Tl at (0.500, 0.500, 0.500) and Ga at (0.500, 0.500, 0.000).

Below is a relaxed structure of Tb6Pr2Y3Tm, with properties calculated at the GGA-PBE level.

The calculation puts the density of states at the Fermi level at 31.58 states/eV/cell. The value obtained for the volume is 32.53 A^3/atom. The total energy comes out at -5.083 eV/atom. As for the density: 7.1 Mg/m³. As for the spin magnetization: 0.0 μB/cell.

The space group is C2/m (No. 12) and the conventional cell measures 6.207, 10.745 and 11.886 Å, with angles of 90.00, 99.98 and 90.00 degrees. The asymmetric unit holds Tb at (0.248, 0.000, 0.248), Tb at (0.250, 0.166, 0.752), Pr at (0.000, 0.334, 0.500), Y at (0.000, 0.166, 0.000), Y at (0.000, 0.500, 0.000) and Tm at (0.000, 0.000, 0.500).

Below is a relaxed structure of Li3VS4, with properties calculated at the GGA-PBE level.

The calculation puts the density of states at the Fermi level at 0.00 states/eV/cell. The value obtained for the volume is 21.07 A^3/atom. The formation energy from raw total energies comes out at -1076 meV/atom. As for the density: 2.0 Mg/m³. As for the spin magnetization: 0.0 μB/cell.

The space group is Pmn2_1 (No. 31) and the conventional cell measures 7.789, 6.798 and 6.366 Å, with angles of 90.00, 90.00 and 90.00 degrees. The asymmetric unit holds Li at (0.000, 0.151, 0.000), Li at (0.246, 0.326, 0.505), V at (0.000, 0.824, 0.503), S at (0.000, 0.124, 0.392), S at (0.000, 0.821, 0.842) and S at (0.229, 0.675, 0.393).

Below is a relaxed structure of Sm4Cd3Hg2, with properties calculated at the GGA-PBE level.

The calculation puts the density of states at the Fermi level at 17.74 states/eV/cell. The value obtained for the volume is 26.93 A^3/atom. The total energy comes out at -2.808 eV/atom. As for the density: 9.2 Mg/m³. As for the spin magnetization: 0.0 μB/cell.

The space group is C2/m (No. 12) and the conventional cell measures 9.107, 5.262 and 10.118 Å, with angles of 90.00, 90.01 and 90.00 degrees. The asymmetric unit holds Sm at (0.000, 0.000, 0.169), Sm at (0.166, 0.500, 0.620), Cd at (0.000, 0.000, 0.500), Cd at (0.167, 0.500, 0.984) and Hg at (0.167, 0.500, 0.307).

Below is a relaxed structure of CaDy2AlAu4, with properties calculated at the GGA-PBE level.

The calculation puts the density of states at the Fermi level at 13.07 states/eV/cell. The value obtained for the volume is 21.70 A^3/atom. The total energy comes out at -4.261 eV/atom. As for the density: 11.3 Mg/m³. As for the spin magnetization: 0.0 μB/cell.

The space group is R-3m (No. 166, hexagonal axes) and the conventional cell measures 4.9576, 4.9576 and 24.4633 Å, with angles of 90.00, 90.00 and 120.00 degrees. The asymmetric unit holds Ca at (0.0000, 0.0000, 0.0000), Dy at (0.0000, 0.0000, 0.2453), Al at (0.0000, 0.0000, 0.5000), Au at (0.0000, 0.0000, 0.1248) and Au at (0.0000, 0.0000, 0.3847).

Look up the spin magnetization of the second one.
0.0 μB/cell

Look up the spin magnetization of the fifth one.
0.0 μB/cell